Entry 1:
! PBE NiNCl, relaxed; values from VASP
! Density (kg/m³): 2993
! DOS at the Fermi energy (states/eV/f.u.): 2.9
! Formation energy (no corrections) (eV per atom): 0.062
! Total magnetic moment (μB/f.u.): 1.00
! Symmetry: Immm (71)
! Total energy (eV/atom): -5.256
&SYSTEM
  ibrav = 0, nat = 6, ntyp = 3
/
ATOMIC_SPECIES
Ni 58.69 Ni.upf
Cl 35.45 Cl.upf
N 14.01 N.upf
CELL_PARAMETERS angstrom
3.1754 0.0000 -0.5685
-0.1779 3.5312 -0.9939
0.2174 1.0187 10.3665
ATOMIC_POSITIONS angstrom
Ni 0.8502 3.2893 4.7487
Ni 2.3647 1.2606 4.0555
Cl 0.4842 2.6955 2.7045
Cl 2.7306 1.8543 6.0996
N 1.7430 2.2510 9.7354
N 1.4719 2.2989 -0.9313

---

Entry 2:
! PBE TbPmC, relaxed; values from VASP
! Density (kg/m³): 7157
! Formation energy (meV/atom): -192.4
! DOS at the Fermi energy (states/eV/f.u.): 2.2
! E above lowest polymorph (meV per atom): 2
! Total magnetic moment (μB/f.u.): 0.19
! Symmetry: C2/m (12)
! Total energy (eV/atom): -6.394
&SYSTEM
  ibrav = 0, nat = 6, ntyp = 3
/
ATOMIC_SPECIES
Pm 145.00 Pm.upf
C 12.01 C.upf
Tb 158.93 Tb.upf
CELL_PARAMETERS angstrom
-2.9770 0.4468 -2.0357
2.5523 -3.5727 -4.5165
-1.5109 -4.8787 4.3823
ATOMIC_POSITIONS angstrom
Pm -1.2147 -2.1246 -1.9336
Pm -0.7209 -5.8799 -0.2363
C 1.2761 -1.7863 -2.2583
C -1.4885 0.2234 -1.0179
Tb -3.5191 -3.9367 1.0386
Tb 1.5835 -4.0678 -3.2085

---

Entry 3:
! PBE ZrScTe2, relaxed; values from VASP
! Density (kg/m³): 6390
! DOS at the Fermi energy (states/eV/f.u.): 3.0
! Formation energy (no corrections) (eV per atom): -0.801
! E above lowest polymorph (meV per atom): 204
! Total magnetic moment (μB/f.u.): 0.00
! Symmetry: R-3m (166)
! Total energy (eV/atom): -6.091
&SYSTEM
  ibrav = 0, nat = 4, ntyp = 3
/
ATOMIC_SPECIES
Sc 44.96 Sc.upf
Zr 91.22 Zr.upf
Te 127.60 Te.upf
CELL_PARAMETERS angstrom
4.1255 -0.0062 -0.0045
2.0670 3.5703 -0.0045
2.0755 1.1945 6.8957
ATOMIC_POSITIONS angstrom
Sc 6.2010 3.5689 5.1650
Zr 2.0670 1.1896 1.7217
Te 2.0758 1.1947 6.8655
Te 4.1337 2.3791 3.4735

---

Entry 4:
! PBE BiHBr2, relaxed; values from VASP
! Density (kg/m³): 6699
! DOS at the Fermi energy (states/eV/f.u.): 1.1
! E above lowest polymorph (meV per atom): 0
! Total magnetic moment (μB/f.u.): 0.06
! Symmetry: Fm-3m (225)
! Total energy (eV/atom): -2.347
&SYSTEM
  ibrav = 0, nat = 4, ntyp = 3
/
ATOMIC_SPECIES
Br 79.90 Br.upf
Bi 208.98 Bi.upf
H 1.01 H.upf
CELL_PARAMETERS angstrom
1.9802 -2.7619 -3.7503
0.7614 -4.9621 0.6415
-2.8829 -3.3433 -2.4749
ATOMIC_POSITIONS angstrom
Br -0.1060 -8.3005 -4.1878
Br -0.0353 -2.7668 -1.3959
Bi -0.0706 -5.5336 -2.7919
H 0.0000 0.0000 0.0000

---

Entry 5:
! PBE NaLiCuBi2, relaxed; values from VASP
! Density (kg/m³): 6649
! Formation energy (meV/atom): 326.1
! DOS at the Fermi energy (states/eV/f.u.): 2.1
! Total magnetic moment (μB/f.u.): 0.00
! Symmetry: P4/mmm (123)
! Total energy (eV/atom): -2.692
&SYSTEM
  ibrav = 0, nat = 5, ntyp = 4
/
ATOMIC_SPECIES
Bi 208.98 Bi.upf
Na 22.99 Na.upf
Li 6.94 Li.upf
Cu 63.55 Cu.upf
CELL_PARAMETERS angstrom
5.1148 0.0000 0.0000
0.0000 4.8824 0.0000
0.0000 0.0000 5.1148
ATOMIC_POSITIONS angstrom
Bi 2.5574 0.0000 0.0000
Bi 0.0000 0.0000 2.5574
Na 0.0000 2.4412 0.0000
Li 0.0000 0.0000 0.0000
Cu 2.5574 2.4412 2.5574

---

Entry 6:
! PBE HfMg2Pd4, relaxed; values from VASP
! Density (kg/m³): 8730
! Formation energy (meV/atom): -566.2
! DOS at the Fermi energy (states/eV/f.u.): 2.8
! Total magnetic moment (μB/f.u.): 0.00
! Symmetry: I4/mmm (139)
! Total energy (eV/atom): -5.411
&SYSTEM
  ibrav = 0, nat = 7, ntyp = 3
/
ATOMIC_SPECIES
Hf 178.49 Hf.upf
Pd 106.42 Pd.upf
Mg 24.30 Mg.upf
CELL_PARAMETERS angstrom
-2.3121 1.9778 -2.8262
-3.3799 -0.6188 2.3321
4.0416 5.5597 3.6353
ATOMIC_POSITIONS angstrom
Hf 0.0000 0.0000 0.0000
Pd -0.7845 4.4160 3.7321
Pd -0.2506 5.7143 1.1530
Pd -0.8660 2.5027 -0.5910
Pd -1.3999 1.2045 1.9881
Mg -2.2598 3.7388 1.4143
Mg 0.6093 3.1799 1.7268

---

Entry 7:
! PBE AsHIrOsAu, relaxed; values from VASP
! Density (kg/m³): 15057
! DOS at the Fermi energy (states/eV/f.u.): 2.4
! E above lowest polymorph (meV per atom): 0
! Total magnetic moment (μB/f.u.): 0.00
! Symmetry: P1 (1)
! Total energy (eV/atom): -6.000
&SYSTEM
  ibrav = 0, nat = 5, ntyp = 5
/
ATOMIC_SPECIES
H 1.01 H.upf
Ir 192.22 Ir.upf
As 74.92 As.upf
Au 196.97 Au.upf
Os 190.23 Os.upf
CELL_PARAMETERS angstrom
-0.1465 2.3727 -1.5329
-4.7026 -1.0144 -1.1487
-2.1254 3.6835 3.2939
ATOMIC_POSITIONS angstrom
H -2.1164 3.7175 0.2608
Ir -2.3691 2.7548 -1.2087
As -4.2820 1.7871 0.0873
Au -6.2330 2.7696 1.7640
Os -3.6454 4.1573 1.0813

---

Entry 8:
! PBE La8CuAs3Br4, relaxed; values from VASP
! Density (kg/m³): 6008
! DOS at the Fermi energy (states/eV/f.u.): 12.6
! Formation energy (no corrections) (eV per atom): -1.338
! Total magnetic moment (μB/f.u.): 0.00
! Symmetry: C2/m (12)
! Total energy (eV/atom): -5.347
&SYSTEM
  ibrav = 0, nat = 16, ntyp = 4
/
ATOMIC_SPECIES
Br 79.90 Br.upf
As 74.92 As.upf
La 138.91 La.upf
Cu 63.55 Cu.upf
CELL_PARAMETERS angstrom
8.7370 0.0000 0.0000
0.0000 8.7814 0.0226
-4.3685 -4.3668 6.1818
ATOMIC_POSITIONS angstrom
Br 4.3685 0.0000 0.0000
Br -2.1843 -2.1834 3.0909
Br 0.0000 0.0000 0.0000
Br 2.1843 -2.1834 3.0909
As -2.1843 2.2073 3.1022
As 2.1843 2.2073 3.1022
As 4.3685 4.3907 0.0113
La 4.3685 0.1548 3.2160
La 2.1607 2.3641 0.1059
La 0.0000 4.2598 2.9883
La 2.2078 2.0505 6.0985
La 0.0000 0.1726 3.2087
La 6.5763 2.3641 0.1059
La 4.3685 4.2420 2.9957
La -2.2078 2.0505 6.0985
Cu 0.0000 4.3907 0.0113

---

Entry 9:
! PBE AcTb2Tl3Se6, relaxed; values from VASP
! Density (kg/m³): 7178
! DOS at the Fermi energy (states/eV/f.u.): 0.0
! Formation energy (no corrections) (eV per atom): -1.398
! Total magnetic moment (μB/f.u.): 0.00
! Symmetry: C2/m (12)
! Total energy (eV/atom): -4.846
&SYSTEM
  ibrav = 0, nat = 12, ntyp = 4
/
ATOMIC_SPECIES
Tl 204.38 Tl.upf
Se 78.96 Se.upf
Tb 158.93 Tb.upf
Ac 227.00 Ac.upf
CELL_PARAMETERS angstrom
7.4965 0.0054 0.0012
-3.7418 6.4959 0.0012
-1.2510 -2.1660 7.7475
ATOMIC_POSITIONS angstrom
Tl -2.5250 4.3489 3.8750
Tl 1.2519 2.1676 3.8750
Tl 5.0288 -0.0137 3.8750
Se 0.0702 0.1216 6.1511
Se 3.8207 2.0476 6.1218
Se -1.3169 2.2877 1.6281
Se 2.6397 0.0026 1.6281
Se -0.1359 4.3326 6.1218
Se 2.4335 4.2137 1.5988
Tb 3.7508 2.1687 0.0012
Tb 0.0039 4.3326 0.0012
Ac 0.0000 0.0000 0.0000

---

Entry 10:
! PBE CaMoPb2, relaxed; values from VASP
! Density (kg/m³): 9095
! Formation energy (meV/atom): 286.3
! DOS at the Fermi energy (states/eV/f.u.): 2.0
! E above lowest polymorph (meV per atom): 82
! Total magnetic moment (μB/f.u.): 0.11
! Symmetry: C2/m (12)
! Total energy (eV/atom): -4.776
&SYSTEM
  ibrav = 0, nat = 4, ntyp = 3
/
ATOMIC_SPECIES
Pb 207.20 Pb.upf
Ca 40.08 Ca.upf
Mo 95.94 Mo.upf
CELL_PARAMETERS angstrom
5.1390 -0.0179 0.0144
3.6897 3.5771 0.0144
1.6954 0.6835 5.4528
ATOMIC_POSITIONS angstrom
Pb 8.7567 3.5302 0.2798
Pb 5.3340 2.1504 2.4897
Ca 7.8930 3.1820 4.1111
Mo 2.6310 1.0607 1.3704

---

Entry 11:
! PBE Ca3Al7Pt4, relaxed; values from VASP
! Density (kg/m³): 6892
! Formation energy (meV/atom): -877.5
! DOS at the Fermi energy (states/eV/f.u.): 5.9
! Total magnetic moment (μB/f.u.): 0.00
! Symmetry: C2/m (12)
! Total energy (eV/atom): -4.904
&SYSTEM
  ibrav = 0, nat = 14, ntyp = 3
/
ATOMIC_SPECIES
Al 26.98 Al.upf
Pt 195.08 Pt.upf
Ca 40.08 Ca.upf
CELL_PARAMETERS angstrom
4.1847 0.0000 1.0557
1.5353 7.4511 2.7359
0.0887 0.0934 8.4702
ATOMIC_POSITIONS angstrom
Al 3.1444 1.2280 5.1792
Al 2.4707 1.6292 7.8498
Al 3.3380 5.9153 4.4120
Al 0.0000 0.0000 0.0000
Al 4.2101 2.9835 9.7767
Al 1.5986 4.5610 2.4851
Al 2.6643 6.3165 7.0825
Pt 0.7016 0.8456 6.0405
Pt 5.1070 6.6989 6.2212
Pt 2.3141 4.0727 8.4707
Pt 3.4946 3.4718 3.7911
Ca 4.2215 6.1111 9.7314
Ca 1.5871 1.4334 2.5304
Ca 0.8120 3.7722 5.6030

---

Entry 12:
! PBE Sr2NpAgO6, relaxed; values from VASP
! Density (kg/m³): 6385
! DOS at the Fermi energy (states/eV/f.u.): 2.7
! Formation energy (no corrections) (eV per atom): -2.415
! Total magnetic moment (μB/f.u.): 0.10
! Symmetry: C2/m (12)
! Total energy (eV/atom): -7.306
&SYSTEM
  ibrav = 0, nat = 10, ntyp = 4
/
ATOMIC_SPECIES
O 16.00 O.upf
Ag 107.87 Ag.upf
Np 237.00 Np.upf
Sr 87.62 Sr.upf
CELL_PARAMETERS angstrom
5.9957 0.0000 -0.3023
0.0000 5.9052 0.0000
-2.6955 -2.9526 4.6616
ATOMIC_POSITIONS angstrom
O -1.3770 1.4044 3.9460
O 0.8616 2.9526 1.8017
O 4.6771 1.5483 0.4133
O 2.4385 0.0000 2.5576
O 4.6771 4.3570 0.4133
O -1.3770 -1.4044 3.9460
Ag 2.9978 0.0000 -0.1511
Np 0.0000 2.9526 0.0000
Sr 3.3223 2.9526 2.0899
Sr -0.0222 0.0000 2.2694